! KVRe2O8, relaxed, DFT PBE+U; values from VASP
&SYSTEM
  ibrav = 0, nat = 12, ntyp = 4
/
ATOMIC_SPECIES
O 16.00 O.upf
K 39.10 K.upf
V 50.94 V.upf
Re 186.21 Re.upf
CELL_PARAMETERS angstrom
-3.308 -0.721 -4.755
3.961 -4.039 1.440
-5.001 -3.477 4.006
ATOMIC_POSITIONS crystal
O 0.667 0.333 0.010
O 0.667 0.833 0.669
O 0.333 0.167 0.331
O 0.167 0.834 0.669
O 0.166 0.333 0.669
O 0.833 0.166 0.331
O 0.333 0.667 0.990
O 0.834 0.667 0.331
K 0.000 0.000 0.000
V 0.000 0.000 0.500
Re 0.333 0.667 0.749
Re 0.667 0.333 0.251
! - E (eV per atom) = -7.8119
! - D(E_F) (states/eV per cell) = 5.026